# 1
# PuBe2Au5

Crystalline PuBe2Au5 at its relaxed geometry (PBE-GGA, the Alexandria database).

The structure in CIF format:
```
data_PuBe2Au5
_cell_length_a 4.107
_cell_length_b 6.993
_cell_length_c 9.882
_cell_angle_alpha 90.00
_cell_angle_beta 90.00
_cell_angle_gamma 90.00
_symmetry_space_group_name_H-M 'I m m m'
_symmetry_Int_Tables_number 71
_symmetry_space_group_name_Hall '-I 2 2'
loop_
_atom_site_label
_atom_site_fract_x
_atom_site_fract_y
_atom_site_fract_z
Pu1 0.000 0.000 0.000
Be1 0.000 0.500 0.242
Au1 0.000 0.209 0.349
Au2 0.000 0.500 0.000
```

Calculated values
DFT formation energy ... -168 kJ/mol of formula units

***

# 2
# PuBe2Au9

Crystalline PuBe2Au9 at its relaxed geometry (PBE-GGA, the Alexandria database).

The structure in CIF format:
```
data_PuBe2Au9
_cell_length_a 11.068
_cell_length_b 11.068
_cell_length_c 7.123
_cell_angle_alpha 90.00
_cell_angle_beta 90.00
_cell_angle_gamma 90.00
_symmetry_space_group_name_H-M 'I 41/a m d'
_symmetry_Int_Tables_number 141
loop_
_symmetry_equiv_pos_as_xyz
'x,y,z'
'-x,-y,-z'
'-y+1/4,x+3/4,z+1/4'
'y+1/4,-x+3/4,-z+1/4'
'-x+1/2,-y,z+1/2'
'x+1/2,y,-z+1/2'
'y+1/4,-x+1/4,z+3/4'
'-y+1/4,x+1/4,-z+3/4'
'x,-y,-z'
'-x,y,z'
'-y+1/4,-x+1/4,-z+3/4'
'y+1/4,x+1/4,z+3/4'
'-x+1/2,y,-z+1/2'
'x+1/2,-y,z+1/2'
'y+1/4,x+3/4,-z+1/4'
'-y+1/4,-x+3/4,z+1/4'
'x+1/2,y+1/2,z+1/2'
'-x+1/2,-y+1/2,-z+1/2'
'-y+3/4,x+1/4,z+3/4'
'y+3/4,-x+1/4,-z+3/4'
'-x,-y+1/2,z'
'x,y+1/2,-z'
'y+3/4,-x+3/4,z+1/4'
'-y+3/4,x+3/4,-z+1/4'
'x+1/2,-y+1/2,-z+1/2'
'-x+1/2,y+1/2,z+1/2'
'-y+3/4,-x+3/4,-z+1/4'
'y+3/4,x+3/4,z+1/4'
'-x,y+1/2,-z'
'x,-y+1/2,z'
'y+3/4,x+1/4,-z+3/4'
'-y+3/4,-x+1/4,z+3/4'
loop_
_atom_site_label
_atom_site_fract_x
_atom_site_fract_y
_atom_site_fract_z
Pu1 0.000 0.250 0.375
Be1 0.000 0.000 0.000
Au1 0.000 0.250 0.875
Au2 0.125 0.068 0.671
```

Calculated values
DFT formation energy ... -125 kJ/mol of formula units

***

# 3
# PuBeAu11

Crystalline PuBeAu11 at its relaxed geometry (PBE-GGA, the Alexandria database).

The structure in CIF format:
```
data_PuBeAu11
_cell_length_a 5.533
_cell_length_b 13.672
_cell_length_c 6.846
_cell_angle_alpha 90.00
_cell_angle_beta 107.88
_cell_angle_gamma 90.00
_symmetry_space_group_name_H-M 'C 1 2/m 1'
_symmetry_Int_Tables_number 12
loop_
_symmetry_equiv_pos_as_xyz
'x,y,z'
'-x,-y,-z'
'-x,y,-z'
'x,-y,z'
'x+1/2,y+1/2,z'
'-x+1/2,-y+1/2,-z'
'-x+1/2,y+1/2,-z'
'x+1/2,-y+1/2,z'
loop_
_atom_site_label
_atom_site_fract_x
_atom_site_fract_y
_atom_site_fract_z
Pu1 0.000 0.000 0.000
Be1 0.000 0.500 0.500
Au1 0.000 0.000 0.500
Au2 0.068 0.398 0.231
Au3 0.144 0.173 0.351
Au4 0.250 0.250 0.000
```

Calculated values
DFT formation energy ... -150 kJ/mol of formula units

***

# 4
# PuBe4Au8

Crystalline PuBe4Au8 at its relaxed geometry (PBE-GGA, the Alexandria database).

The structure in CIF format:
```
data_PuBe4Au8
_cell_length_a 8.941
_cell_length_b 8.941
_cell_length_c 5.256
_cell_angle_alpha 90.00
_cell_angle_beta 90.00
_cell_angle_gamma 90.00
_symmetry_space_group_name_H-M 'I 4/m m m'
_symmetry_Int_Tables_number 139
_symmetry_space_group_name_Hall '-I 4 2'
loop_
_atom_site_label
_atom_site_fract_x
_atom_site_fract_y
_atom_site_fract_z
Pu1 0.000 0.000 0.000
Be1 0.250 0.250 0.250
Au1 0.000 0.222 0.500
Au2 0.000 0.331 0.000
```

Calculated values
DFT formation energy ... -217 kJ/mol of formula units

***

# 5
# PuBe2Au8

Crystalline PuBe2Au8 at its relaxed geometry (PBE-GGA, the Alexandria database).

The structure in CIF format:
```
data_PuBe2Au8
_cell_length_a 7.607
_cell_length_b 11.220
_cell_length_c 4.754
_cell_angle_alpha 90.00
_cell_angle_beta 99.76
_cell_angle_gamma 90.00
_symmetry_space_group_name_H-M 'C 1 2/m 1'
_symmetry_Int_Tables_number 12
loop_
_symmetry_equiv_pos_as_xyz
'x,y,z'
'-x,-y,-z'
'-x,y,-z'
'x,-y,z'
'x+1/2,y+1/2,z'
'-x+1/2,-y+1/2,-z'
'-x+1/2,y+1/2,-z'
'x+1/2,-y+1/2,z'
loop_
_atom_site_label
_atom_site_fract_x
_atom_site_fract_y
_atom_site_fract_z
Pu1 0.000 0.000 0.000
Be1 0.000 0.316 0.500
Au1 0.000 0.270 0.000
Au2 0.101 0.500 0.783
Au3 0.191 0.134 0.565
```

Calculated values
DFT formation energy ... -157 kJ/mol of formula units

***

# 6
# PuBe3Au10

Crystalline PuBe3Au10 at its relaxed geometry (PBE-GGA, the Alexandria database).

The structure in CIF format:
```
data_PuBe3Au10
_cell_length_a 12.486
_cell_length_b 12.486
_cell_length_c 12.486
_cell_angle_alpha 90.00
_cell_angle_beta 90.00
_cell_angle_gamma 90.00
_symmetry_space_group_name_H-M 'F m -3 m'
_symmetry_Int_Tables_number 225
_symmetry_space_group_name_Hall '-F 4 2 3'
loop_
_atom_site_label
_atom_site_fract_x
_atom_site_fract_y
_atom_site_fract_z
Pu1 0.250 0.250 0.250
Be1 0.000 0.000 0.236
Au1 0.000 0.169 0.331
Au2 0.113 0.113 0.113
```

Calculated values
DFT formation energy ... -255 kJ/mol of formula units

***

# 7
# PuBe2Au2

Crystalline PuBe2Au2 at its relaxed geometry (PBE-GGA, the Alexandria database).

The structure in CIF format:
```
data_PuBe2Au2
_cell_length_a 4.225
_cell_length_b 4.225
_cell_length_c 9.510
_cell_angle_alpha 90.00
_cell_angle_beta 90.00
_cell_angle_gamma 90.00
_symmetry_space_group_name_H-M 'P 4/n m m'
_symmetry_Int_Tables_number 129
loop_
_symmetry_equiv_pos_as_xyz
'x,y,z'
'-x,-y,-z'
'-y+1/2,x,z'
'y+1/2,-x,-z'
'-x+1/2,-y+1/2,z'
'x+1/2,y+1/2,-z'
'y,-x+1/2,z'
'-y,x+1/2,-z'
'x+1/2,-y,-z'
'-x+1/2,y,z'
'-y,-x,-z'
'y,x,z'
'-x,y+1/2,-z'
'x,-y+1/2,z'
'y+1/2,x+1/2,-z'
'-y+1/2,-x+1/2,z'
loop_
_atom_site_label
_atom_site_fract_x
_atom_site_fract_y
_atom_site_fract_z
Pu1 0.250 0.250 0.242
Be1 0.250 0.250 0.627
Be2 0.250 0.750 0.000
Au1 0.250 0.250 0.879
Au2 0.250 0.750 0.500
```

Calculated values
DFT formation energy ... -118 kJ/mol of formula units

***

# 8
# Pu2BeSiAu6

Crystalline Pu2BeSiAu6 at its relaxed geometry (PBE-GGA, the Alexandria database).

The structure in CIF format:
```
data_Pu2BeSiAu6
_cell_length_a 5.7564
_cell_length_b 5.7564
_cell_length_c 44.5776
_cell_angle_alpha 90.00
_cell_angle_beta 90.00
_cell_angle_gamma 120.00
_symmetry_space_group_name_H-M 'R -3 m'
_symmetry_Int_Tables_number 166
_symmetry_space_group_name_Hall '-R 3 2"'
loop_
_atom_site_label
_atom_site_fract_x
_atom_site_fract_y
_atom_site_fract_z
Pu1 0.0000 0.0000 0.1806
Pu2 0.0000 0.0000 0.2620
Be1 0.0000 0.0000 0.0000
Be2 0.0000 0.0000 0.5000
Si1 0.0000 0.0000 0.4120
Au1 0.0021 0.5010 0.7025
Au2 0.0044 0.5022 0.7882
```

Calculated values
Uncorrected formation energy ... -1.45 eV per formula unit

***

# 9
# Pu2Be3Si4Au

Crystalline Pu2Be3Si4Au at its relaxed geometry (PBE-GGA, the Alexandria database).

The structure in CIF format:
```
data_Pu2Be3Si4Au
_cell_length_a 3.948
_cell_length_b 3.948
_cell_length_c 9.887
_cell_angle_alpha 90.00
_cell_angle_beta 90.00
_cell_angle_gamma 90.00
_symmetry_space_group_name_H-M 'P -4 m 2'
_symmetry_Int_Tables_number 115
loop_
_symmetry_equiv_pos_as_xyz
'x,y,z'
'y,-x,-z'
'-x,-y,z'
'-y,x,-z'
'-x,y,z'
'-y,-x,-z'
'x,-y,z'
'y,x,-z'
loop_
_atom_site_label
_atom_site_fract_x
_atom_site_fract_y
_atom_site_fract_z
Pu1 0.000 0.500 0.232
Be1 0.000 0.500 0.876
Be2 0.500 0.500 0.500
Si1 0.000 0.000 0.000
Si2 0.000 0.500 0.651
Si3 0.500 0.500 0.000
Au1 0.000 0.000 0.500
```

Calculated values
Uncorrected formation energy ... -3.30 eV per formula unit

***

# 10
# PuBe2ZnAu4

Crystalline PuBe2ZnAu4 at its relaxed geometry (PBE-GGA, the Alexandria database).

The structure in CIF format:
```
data_PuBe2ZnAu4
_cell_length_a 4.2110
_cell_length_b 4.2110
_cell_length_c 27.4744
_cell_angle_alpha 90.00
_cell_angle_beta 90.00
_cell_angle_gamma 120.00
_symmetry_space_group_name_H-M 'R -3 m'
_symmetry_Int_Tables_number 166
_symmetry_space_group_name_Hall '-R 3 2"'
loop_
_atom_site_label
_atom_site_fract_x
_atom_site_fract_y
_atom_site_fract_z
Pu1 0.0000 0.0000 0.0000
Be1 0.0000 0.0000 0.2396
Zn1 0.0000 0.0000 0.5000
Au1 0.0000 0.0000 0.1260
Au2 0.0000 0.0000 0.4007
```

Calculated values
DFT formation energy ... -113 kJ/mol of formula units

***

# 11
# PuBeZn2Au5

Crystalline PuBeZn2Au5 at its relaxed geometry (PBE-GGA, the Alexandria database).

The structure in CIF format:
```
data_PuBeZn2Au5
_cell_length_a 4.506
_cell_length_b 6.006
_cell_length_c 13.155
_cell_angle_alpha 90.00
_cell_angle_beta 90.00
_cell_angle_gamma 90.00
_symmetry_space_group_name_H-M 'I m m m'
_symmetry_Int_Tables_number 71
_symmetry_space_group_name_Hall '-I 2 2'
loop_
_atom_site_label
_atom_site_fract_x
_atom_site_fract_y
_atom_site_fract_z
Pu1 0.000 0.000 0.000
Be1 0.000 0.000 0.500
Zn1 0.000 0.500 0.197
Au1 0.000 0.258 0.361
Au2 0.000 0.500 0.000
```

Calculated values
DFT formation energy ... -135 kJ/mol of formula units

***

# 12
# PuBeZnAu6

Crystalline PuBeZnAu6 at its relaxed geometry (PBE-GGA, the Alexandria database).

The structure in CIF format:
```
data_PuBeZnAu6
_cell_length_a 5.812
_cell_length_b 8.894
_cell_length_c 13.221
_cell_angle_alpha 90.00
_cell_angle_beta 90.00
_cell_angle_gamma 90.00
_symmetry_space_group_name_H-M 'I m m a'
_symmetry_Int_Tables_number 74
_symmetry_space_group_name_Hall '-I 2b 2'
loop_
_atom_site_label
_atom_site_fract_x
_atom_site_fract_y
_atom_site_fract_z
Pu1 0.000 0.250 0.240
Be1 0.000 0.000 0.500
Zn1 0.250 0.250 0.750
Au1 0.000 0.250 0.466
Au2 0.000 0.250 0.996
Au3 0.244 0.017 0.868
```

Calculated values
DFT formation energy ... -69 kJ/mol of formula units

***

For the records above, the corresponding theoretical density values read 14590, 15489, 16304, 14670, 15263, 15293, 12833, 13294, 8883, 13168, 12769, 14581 kg/m³.